No. 1
# Na8CdHg5

A relaxed Na8CdHg5 crystal (PBE, Alexandria via LeMat-Bulk).

## Properties
spin magnetization	0.00	μB per formula unit
DFT formation energy	-148	meV/atom
density of states at the Fermi level	8.102	states/eV/cell

Geometry as POSCAR:
```
Na8CdHg5
1.0
7.615 0.000 -2.608
-3.804 6.551 -2.720
-0.006 0.000 8.049
Na Cd Hg
8 1 5
Direct
0.137 0.748 0.048
0.952 0.089 0.700
0.762 0.252 0.359
0.641 0.402 0.893
0.490 0.598 0.238
0.611 0.911 0.863
0.300 0.252 0.389
0.107 0.748 0.510
0.250 0.500 0.750
0.021 0.363 0.133
0.867 0.888 0.229
0.771 0.637 0.658
0.500 0.000 0.500
0.342 0.112 0.979
```

=====

No. 2
# Nb2SiGe

A relaxed Nb2SiGe crystal (PBE, Alexandria via LeMat-Bulk).

## Properties
spin magnetization	0.00	μB per formula unit
ΔE_f (raw)	860	meV per atom
density of states at the Fermi level	8.995	states/eV/cell

Geometry as POSCAR:
```
Nb2SiGe
1.0
5.811 0.000 0.000
0.000 5.811 0.000
2.906 2.906 5.829
Nb Si Ge
4 2 2
Direct
0.617 0.125 0.250
0.133 0.625 0.250
0.375 0.383 0.750
0.875 0.867 0.750
0.500 0.500 0.000
0.250 0.750 0.500
0.000 0.000 0.000
0.750 0.250 0.500
```

=====

No. 3
# CsNpCuI6

A relaxed CsNpCuI6 crystal (PBE, Alexandria via LeMat-Bulk).

## Properties
spin magnetization	2.95	μB per formula unit
ΔE_f (raw)	-764	meV per atom
density of states at the Fermi level	7.675	states/eV/cell

Geometry as POSCAR:
```
CsNpCuI6
1.0
-0.409 0.440 -7.608
-6.532 -1.654 -3.582
-2.478 8.480 0.617
Cs Np Cu I
1 1 1 6
Direct
0.000 0.000 0.000
0.667 0.667 0.500
0.333 0.333 0.500
0.013 0.359 0.308
0.359 0.013 0.692
0.629 0.359 0.692
0.013 0.628 0.691
0.359 0.629 0.308
0.628 0.013 0.309
```

=====

No. 4
# CaLu3Mn

A relaxed CaLu3Mn crystal (PBE, Alexandria via LeMat-Bulk).

## Properties
spin magnetization	0.73	μB per formula unit
DFT formation energy	159	meV/atom
density of states at the Fermi level	4.520	states/eV/cell

Geometry as POSCAR:
```
CaLu3Mn
1.0
5.230 0.000 0.000
0.000 5.230 0.000
0.000 0.000 5.230
Ca Lu Mn
1 3 1
Direct
0.500 0.500 0.500
0.000 0.500 0.000
0.000 0.000 0.500
0.500 0.000 0.000
0.000 0.000 0.000
```

=====

No. 5
# AgH5Pd4

A relaxed AgH5Pd4 crystal (PBE, Alexandria via LeMat-Bulk).

## Properties
spin magnetization	0.00	μB per formula unit
polymorph energy (0 for the lowest one)	0	meV/atom
density of states at the Fermi level	1.433	states/eV/cell

Geometry as POSCAR:
```
AgH5Pd4
1.0
-0.822 0.598 2.844
-4.804 -1.902 0.548
1.052 -5.521 3.043
Ag H Pd
1 5 4
Direct
0.000 0.000 0.000
0.339 0.899 0.671
0.661 0.101 0.329
0.368 0.388 0.862
0.000 0.500 0.500
0.632 0.612 0.138
0.580 0.207 0.601
0.204 0.395 0.200
0.796 0.605 0.800
0.420 0.793 0.399
```

=====

No. 6
# ReTcRu3

A relaxed ReTcRu3 crystal (PBE, Alexandria via LeMat-Bulk).

## Properties
spin magnetization	0.00	μB per formula unit
polymorph energy (0 for the lowest one)	0	meV/atom
DFT formation energy	-60	meV/atom
density of states at the Fermi level	8.830	states/eV/cell

Geometry as POSCAR:
```
ReTcRu3
1.0
-3.796 -3.282 1.145
-3.141 -1.921 -5.965
4.092 -1.839 -1.563
Re Tc Ru
2 2 6
Direct
0.200 0.950 0.279
0.786 0.352 0.071
0.993 0.151 0.671
0.993 0.651 0.010
0.392 0.251 0.208
0.793 0.849 0.409
0.396 0.751 0.879
0.593 0.051 0.809
0.193 0.452 0.609
0.590 0.550 0.476
```

=====

No. 7
# CsMg6Al

A relaxed CsMg6Al crystal (PBE, Alexandria via LeMat-Bulk).

## Properties
spin magnetization	0.00	μB per formula unit
polymorph energy (0 for the lowest one)	0	meV/atom
DFT formation energy	190	meV/atom
density of states at the Fermi level	2.686	states/eV/cell

Geometry as POSCAR:
```
CsMg6Al
1.0
6.765 4.349 5.451
-9.206 -3.099 0.172
1.507 -4.388 1.630
Cs Mg Al
1 6 1
Direct
0.292 0.708 0.500
0.326 0.193 0.500
0.807 0.674 0.500
0.207 0.295 0.000
0.705 0.793 0.000
0.617 0.383 0.000
0.109 0.891 0.000
0.938 0.062 0.500
```

=====

No. 8
# CuAg2Pb

A relaxed CuAg2Pb crystal (PBE, Alexandria via LeMat-Bulk).

## Properties
spin magnetization	0.00	μB per formula unit
DFT formation energy	192	meV/atom
density of states at the Fermi level	1.557	states/eV/cell

Geometry as POSCAR:
```
CuAg2Pb
1.0
-2.260 3.287 3.535
-4.243 2.559 -1.965
1.507 -5.111 0.134
Ag Cu Pb
2 1 1
Direct
0.000 0.000 0.000
0.500 0.500 0.000
0.250 0.750 0.500
0.750 0.250 0.500
```